1.
First-principles (GGA-PBE) data for a relaxed structure of CdIn5SnBi2, as listed in the Alexandria database.

The value obtained for the total DFT energy (no corrections) is -103.08 eV per cell. For the energy of formation, the calculation gives 67 meV per atom. Its crystal system is orthorhombic. The density is 7.355 g cm⁻³.

The space group is Cmc2_1 (No. 36) and the conventional cell measures 4.567, 18.099 and 13.365 Å, with angles of 90.00, 90.00 and 90.00 degrees. The distinct sites, in fractional coordinates, are Cd at (0.000, 0.203, 0.000), In at (0.000, 0.052, 0.156), In at (0.000, 0.297, 0.676), In at (0.000, 0.330, 0.337), In at (0.000, 0.371, 0.026), In at (0.000, 0.478, 0.812), Sn at (0.000, 0.439, 0.513), Bi at (0.000, 0.121, 0.694) and Bi at (0.000, 0.158, 0.348).

***

2.
First-principles (GGA-PBE) data for a relaxed structure of InSbPCl2, as listed in the Alexandria database.

The value obtained for the total DFT energy (no corrections) is -15.71 eV per cell. Its crystal system is tetragonal. The value obtained for the raw formation energy is 0.050 eV/atom. The density is 2.964 g cm⁻³.

The space group is P4/mmm (No. 123) and the conventional cell measures 5.763, 5.763 and 5.709 Å, with angles of 90.00, 90.00 and 90.00 degrees. The distinct sites, in fractional coordinates, are In at (0.000, 0.000, 0.000), Sb at (0.500, 0.500, 0.500), P at (0.500, 0.500, 0.000) and Cl at (0.000, 0.500, 0.500).